[1]
# CsTlIr2

An optimized crystal structure of CsTlIr2 (GGA-PBE, Alexandria via LeMat-Bulk).

a = 4.981 Å, b = 4.981 Å, c = 4.981 Å
α = 60.00°, β = 60.00°, γ = 60.00°
Atoms (fractional coordinates):
1 Cs 0.000 0.000 0.000
2 Tl 0.500 0.500 0.500
3 Ir 0.250 0.250 0.250
4 Ir 0.750 0.750 0.750

Calculated values
SG ... No. 225
Total DFT energy (no corrections) ... -3.7827 eV/atom


[2]
# ErTmTh2Sb4

An optimized crystal structure of ErTmTh2Sb4 (GGA-PBE, Alexandria via LeMat-Bulk).

a = 7.622 Å, b = 4.440 Å, c = 7.690 Å
α = 90.00°, β = 109.71°, γ = 90.00°
Atoms (fractional coordinates):
1 Er 0.000 0.000 0.000
2 Tm 0.000 0.500 0.500
3 Th 0.500 0.000 0.500
4 Th 0.500 0.500 0.000
5 Sb 0.237 0.000 0.745
6 Sb 0.238 0.500 0.246
7 Sb 0.762 0.500 0.754
8 Sb 0.763 0.000 0.255

Calculated values
SG ... No. 10
Raw formation energy ... -0.992 eV/atom


| no. | Fermi-level density of states (states/eV/f.u.) |
| --- | --- |
| 1 | 4.879 |
| 2 | 4.182 |